#w
# LiNiPO4 | the Alexandria database | GGA+U | optimized geometry
data_LiNiPO4
_chemical_formula_sum 'Li4 Ni4 P4 O16'
_cell_length_a 7.897
_cell_length_b 5.231
_cell_length_c 8.449
_cell_angle_alpha 90.00
_cell_angle_beta 104.29
_cell_angle_gamma 90.00
_symmetry_space_group_name_H-M 'P 1 c 1'
_symmetry_Int_Tables_number 7
loop_
_symmetry_equiv_pos_as_xyz
'x,y,z'
'x,-y,z+1/2'
loop_
_atom_site_label
_atom_site_fract_x
_atom_site_fract_y
_atom_site_fract_z
_atom_site_occupancy
Li1 0.000 0.154 0.000 1
Li2 0.526 0.325 0.323 1
Ni1 0.386 0.175 0.937 1
Ni2 0.929 0.332 0.664 1
P1 0.136 0.322 0.372 1
P2 0.624 0.176 0.693 1
O1 0.066 0.210 0.512 1
O2 0.164 0.379 0.895 1
O3 0.307 0.182 0.366 1
O4 0.486 0.319 0.764 1
O5 0.555 0.099 0.145 1
O6 0.666 0.317 0.545 1
O7 0.804 0.173 0.820 1
O8 0.999 0.301 0.205 1
# Mass density, kg/m3: 3154

=====

#x
# LiNiPO4 | the Alexandria database | GGA+U | optimized geometry
data_LiNiPO4
_chemical_formula_sum 'Li4 Ni4 P4 O16'
_cell_length_a 5.550
_cell_length_b 5.799
_cell_length_c 7.920
_cell_angle_alpha 90.00
_cell_angle_beta 90.00
_cell_angle_gamma 90.00
_symmetry_space_group_name_H-M 'I m m a'
_symmetry_Int_Tables_number 74
_symmetry_space_group_name_Hall '-I 2b 2'
loop_
_atom_site_label
_atom_site_fract_x
_atom_site_fract_y
_atom_site_fract_z
_atom_site_occupancy
Li1 0.250 0.250 0.250 1
Ni1 0.000 0.000 0.000 1
P1 0.000 0.250 0.629 1
O1 0.000 0.027 0.738 1
O2 0.230 0.250 0.510 1
# Mass density, kg/m3: 4185

=====

Tell me which of them is the least stable. Sure, it is #x.

=====

#w
# LiNiPO4 | the Alexandria database | GGA+U | optimized geometry
data_LiNiPO4
_chemical_formula_sum 'Li4 Ni4 P4 O16'
_cell_length_a 9.920
_cell_length_b 4.929
_cell_length_c 7.028
_cell_angle_alpha 90.00
_cell_angle_beta 90.00
_cell_angle_gamma 90.00
_symmetry_space_group_name_H-M 'P n a 21'
_symmetry_Int_Tables_number 33
loop_
_symmetry_equiv_pos_as_xyz
'x,y,z'
'-x,-y,z+1/2'
'-x+1/2,y+1/2,z+1/2'
'x+1/2,-y+1/2,z'
loop_
_atom_site_label
_atom_site_fract_x
_atom_site_fract_y
_atom_site_fract_z
_atom_site_occupancy
Li1 0.153 0.200 0.000 1
Ni1 0.148 0.207 0.500 1
P1 0.097 0.695 0.249 1
O1 0.056 0.235 0.749 1
O2 0.121 0.383 0.250 1
O3 0.161 0.816 0.432 1
O4 0.163 0.811 0.065 1
# Mass density, kg/m3: 3104

=====

#x
# LiNiPO4 | the Alexandria database | GGA+U | optimized geometry
data_LiNiPO4
_chemical_formula_sum 'Li4 Ni4 P4 O16'
_cell_length_a 10.290
_cell_length_b 6.163
_cell_length_c 4.677
_cell_angle_alpha 90.00
_cell_angle_beta 90.00
_cell_angle_gamma 90.00
_symmetry_space_group_name_H-M 'P n m a'
_symmetry_Int_Tables_number 62
loop_
_symmetry_equiv_pos_as_xyz
'x,y,z'
'-x,-y,-z'
'-x+1/2,-y,z+1/2'
'x+1/2,y,-z+1/2'
'x+1/2,-y+1/2,-z+1/2'
'-x+1/2,y+1/2,z+1/2'
'-x,y+1/2,-z'
'x,-y+1/2,z'
loop_
_atom_site_label
_atom_site_fract_x
_atom_site_fract_y
_atom_site_fract_z
_atom_site_occupancy
Li1 0.216 0.250 0.011 1
Ni1 0.000 0.000 0.500 1
P1 0.092 0.750 0.085 1
O1 0.049 0.250 0.773 1
O2 0.085 0.750 0.754 1
O3 0.157 0.543 0.209 1
# Mass density, kg/m3: 3596

=====

Tell me which of them is the least stable. Sure, it is #w.